Compound: Sm6YAl
Source: Alexandria via LeMat-Bulk
Functional: PBE
Structure: relaxed

Structure (POSCAR):
```
Sm6YAl
1.0
9.3388 0.0180 0.2041
4.6730 7.3276 -0.2563
4.5868 2.3661 3.7510
Sm Y Al
6 1 1
direct
0.0378 0.4390 0.7605
0.7626 0.9627 0.7138
0.5608 0.2373 0.1641
0.2374 0.0373 0.2862
0.9622 0.5610 0.2395
0.4392 0.7627 0.8359
0.5000 0.5000 0.5000
0.0000 0.0000 0.0000
```

## Properties
Space group: No. 2
ΔH_f (0 K), eV per formula unit: 0.295
Magnetization, μB/f.u.: 0.0